(1)
La2PmY after structural relaxation, computed with PBE.

Calculated values
DOS at the Fermi energy in states/eV/f.u.: 6.8
Excess energy over the best structure of this formula in the dataset in eV/f.u.: 0.038
Energy relative to the elements in eV per atom: 0.02
E_tot in eV per formula unit: -21.0

Lattice parameters (Å, degrees): 6.3063 6.3063 3.7179 90.00 90.00 108.25
With the nearest neighbours (Å) after each atom.
Fractional positions:
La 0.0000 0.5000 0.0000  4 Pm 3.66, 4 Y 3.66, 4 La 3.70-3.72
La 0.5000 0.0000 0.0000  4 Pm 3.66, 4 Y 3.66, 4 La 3.70-3.72
Pm 0.0000 0.0000 0.5000  8 La 3.66, 2 Y 3.70, 2 Pm 3.72
Y 0.5000 0.5000 0.5000  8 La 3.66, 2 Pm 3.70, 2 Y 3.72

(2)
CdIr2C2 after structural relaxation, computed with PBE.

Calculated values
DOS at the Fermi energy in states/eV/f.u.: 1.4
Excess energy over the best structure of this formula in the dataset in eV/f.u.: 0.000
Energy relative to the elements in eV per atom: 0.73
E_tot in eV per formula unit: -33.4

Lattice parameters (Å, degrees): 6.4202 6.4202 6.4202 149.50 149.50 43.68
With the nearest neighbours (Å) after each atom.
Fractional positions:
Cd 0.0000 0.0000 0.0000  8 Ir 3.01
Ir 0.3468 0.3468 0.0000  4 C 2.05
Ir 0.6532 0.6532 0.0000  4 C 2.05
C 0.2500 0.7500 0.5000  4 Ir 2.05
C 0.7500 0.2500 0.5000  4 Ir 2.05

(3)
MgTi after structural relaxation, computed with PBE.

Calculated values
DOS at the Fermi energy in states/eV/f.u.: 2.5
Energy relative to the elements in eV per atom: 0.16
E_tot in eV per formula unit: -9.2

Lattice parameters (Å, degrees): 4.8585 8.0846 8.0846 141.73 90.00 90.00
With the nearest neighbours (Å) after each atom.
Fractional positions:
Mg 0.0000 0.0000 0.0000  10 Ti 2.94-3.00, 2 Mg 3.01
Mg 0.0000 0.1767 0.7825  7 Mg 3.01-3.10, 5 Ti 3.07-3.29
Mg 0.0000 0.7825 0.1767  7 Mg 3.01-3.10, 5 Ti 3.07-3.29
Mg 0.5000 0.1237 0.5148  6 Ti 2.99-3.31, 6 Mg 3.02-3.13
Mg 0.5000 0.5148 0.1237  6 Ti 2.99-3.31, 6 Mg 3.02-3.13
Ti 0.0000 0.4056 0.5812  5 Ti 2.68-2.93, 2 Mg 2.94-3.00
Ti 0.0000 0.5812 0.4056  5 Ti 2.68-2.93, 2 Mg 2.94-3.00
Ti 0.5000 0.3148 0.3148  8 Ti 2.89-3.04, 4 Mg 2.95-2.99
Ti 0.5000 0.7112 0.8864  4 Ti 2.68-2.92, 2 Mg 2.97
Ti 0.5000 0.8864 0.7112  4 Ti 2.68-2.92, 2 Mg 2.97

(4)
Rb2LaMgBr6 after structural relaxation, computed with PBE.

Calculated values
DOS at the Fermi energy in states/eV/f.u.: 2.0
E_tot in eV per formula unit: -34.3
Formation energy from raw total energies in eV/atom: -1.582

Lattice parameters (Å, degrees): 8.2438 8.2438 8.2438 60.00 60.00 60.00
With the nearest neighbours (Å) after each atom.
Fractional positions:
Rb 0.2500 0.2500 0.2500  12 Br 4.12
Rb 0.7500 0.7500 0.7500  12 Br 4.12
La 0.0000 0.0000 0.0000  6 Br 2.96
Mg 0.5000 0.5000 0.5000  6 Br 2.87
Br 0.2541 0.2541 0.7459  1 Mg 2.87, 1 La 2.96
Br 0.2541 0.7459 0.2541  1 Mg 2.87, 1 La 2.96
Br 0.2541 0.7459 0.7459  1 Mg 2.87, 1 La 2.96
Br 0.7459 0.2541 0.2541  1 Mg 2.87, 1 La 2.96
Br 0.7459 0.2541 0.7459  1 Mg 2.87, 1 La 2.96
Br 0.7459 0.7459 0.2541  1 Mg 2.87, 1 La 2.96

(5)
BaSr2ZnRh after structural relaxation, computed with PBE.

Calculated values
DOS at the Fermi energy in states/eV/f.u.: 4.5
Excess energy over the best structure of this formula in the dataset in eV/f.u.: 0.000
Energy relative to the elements in eV per atom: -0.08
E_tot in eV per formula unit: -14.3

Lattice parameters (Å, degrees): 5.8064 5.8064 5.1921 90.00 90.00 90.00
With the nearest neighbours (Å) after each atom.
Fractional positions:
Ba 0.0000 0.0000 0.0000  8 Sr 3.89, 4 Zn 4.11
Sr 0.0000 0.5000 0.5000  2 Rh 2.90
Sr 0.5000 0.0000 0.5000  2 Rh 2.90
Zn 0.5000 0.5000 0.0000  2 Rh 2.60
Rh 0.5000 0.5000 0.5000  2 Zn 2.60, 4 Sr 2.90

(6)
Ba6Al2In after structural relaxation, computed with PBE.

Calculated values
DOS at the Fermi energy in states/eV/f.u.: 12.4
Energy relative to the elements in eV per atom: -0.12
E_tot in eV per formula unit: -22.8

Lattice parameters (Å, degrees): 10.1597 10.1597 10.1597 112.08 110.33 106.06
With the nearest neighbours (Å) after each atom.
Fractional positions:
Ba 0.0432 0.8241 0.2191  3 Al 3.59-3.67, 1 In 3.90
Ba 0.2434 0.5287 0.2853  2 Al 3.53-3.72, 1 In 3.85
Ba 0.2434 0.9581 0.7147  2 Al 3.53-3.72, 1 In 3.85
Ba 0.2663 0.3195 0.5858  3 Al 3.64-3.84, 1 In 3.71
Ba 0.2663 0.6805 0.9468  3 Al 3.64-3.84, 1 In 3.71
Ba 0.3949 0.1759 0.2191  3 Al 3.59-3.67, 1 In 3.90
Ba 0.6051 0.8241 0.7809  3 Al 3.59-3.67, 1 In 3.90
Ba 0.7337 0.3195 0.0532  3 Al 3.64-3.84, 1 In 3.71
Ba 0.7337 0.6805 0.4142  3 Al 3.64-3.84, 1 In 3.71
Ba 0.7566 0.0419 0.2853  2 Al 3.53-3.72, 1 In 3.85
Ba 0.7566 0.4713 0.7147  2 Al 3.53-3.72, 1 In 3.85
Ba 0.9568 0.1759 0.7809  3 Al 3.59-3.67, 1 In 3.90
Al 0.0000 0.1187 0.1187  1 Al 2.69
Al 0.0000 0.8813 0.8813  1 Al 2.69
Al 0.3926 0.3926 0.0000  1 Al 2.62
Al 0.6074 0.6074 0.0000  1 Al 2.62
In 0.0000 0.5000 0.5000  8 Ba 3.71-3.85
In 0.5000 0.0000 0.5000  8 Ba 3.90-3.97

(7)
DyNbCoOs after structural relaxation, computed with PBE.

Calculated values
DOS at the Fermi energy in states/eV/f.u.: 2.1
Energy relative to the elements in eV per atom: -0.08
E_tot in eV per formula unit: -33.3

Lattice parameters (Å, degrees): 4.6007 4.6007 4.6007 60.00 60.00 60.00
With the nearest neighbours (Å) after each atom.
Fractional positions:
Dy 0.0000 0.0000 0.0000  4 Os 2.82, 4 Co 2.82
Nb 0.5000 0.5000 0.5000  4 Co 2.82, 4 Os 2.82
Co 0.2500 0.2500 0.2500  4 Nb 2.82, 4 Dy 2.82
Os 0.7500 0.7500 0.7500  4 Nb 2.82, 4 Dy 2.82

(8)
Li6Cd2HPd after structural relaxation, computed with PBE.

Calculated values
DOS at the Fermi energy in states/eV/f.u.: 2.9
E_tot in eV per formula unit: -24.3

Lattice parameters (Å, degrees): 5.2695 5.7485 6.1026 87.38 70.90 64.60
With the nearest neighbours (Å) after each atom.
Fractional positions:
Li 0.0263 0.1068 0.2828  1 H 1.92
Li 0.0917 0.6560 0.1031  1 H 1.95
Li 0.4612 0.8512 0.8116  1 H 2.11
Li 0.5388 0.1488 0.1884  1 H 2.11
Li 0.9083 0.3440 0.8969  1 H 1.95
Li 0.9737 0.8932 0.7172  1 H 1.92
Cd 0.4831 0.3343 0.6820  8 Li 2.80-3.12, 1 Cd 2.87, 2 Pd 2.88-3.12
Cd 0.5169 0.6657 0.3180  8 Li 2.80-3.12, 1 Cd 2.87, 2 Pd 2.88-3.12
H 0.0000 0.0000 0.0000  6 Li 1.92-2.11
Pd 0.0000 0.5000 0.5000  6 Li 2.51-2.77

(9)
CaNb2N4 after structural relaxation, computed with PBE.

Calculated values
DOS at the Fermi energy in states/eV/f.u.: 0.0
E_tot in eV per formula unit: -61.9
Formation energy from raw total energies in eV/atom: -0.924

Lattice parameters (Å, degrees): 6.5857 6.5857 6.5857 121.27 121.27 87.82
With the nearest neighbours (Å) after each atom.
Fractional positions:
Ca 0.0000 0.0000 0.0000  4 N 2.28-2.30
Ca 0.7500 0.2500 0.5000  4 N 2.28-2.30
Nb 0.3779 0.6453 0.7326  3 N 1.95-2.01
Nb 0.3953 0.1627 0.7674  3 N 1.95-2.01
Nb 0.3953 0.6279 0.2326  3 N 1.95-2.01
Nb 0.9127 0.6453 0.2674  3 N 1.95-2.01
N 0.1298 0.8504 0.2794  1 Nb 1.95
N 0.1332 0.4261 0.2930  2 Nb 2.01
N 0.1332 0.8402 0.7070  2 Nb 2.01
N 0.1761 0.3832 0.7930  2 Nb 2.01
N 0.5710 0.8504 0.7206  1 Nb 1.95
N 0.5902 0.3832 0.2070  2 Nb 2.01
N 0.6004 0.3798 0.7794  1 Nb 1.95
N 0.6004 0.8210 0.2206  1 Nb 1.95

(10)
CsRb2BS after structural relaxation, computed with PBE.

Calculated values
DOS at the Fermi energy in states/eV/f.u.: 1.0
E_tot in eV per formula unit: -11.1
Formation energy from raw total energies in eV/atom: 0.498

Lattice parameters (Å, degrees): 6.8325 6.8325 4.3005 90.00 90.00 90.00
With the nearest neighbours (Å) after each atom.
Fractional positions:
Cs 0.0000 0.0000 0.0000  8 Rb 4.04, 2 Cs 4.30
Rb 0.0000 0.5000 0.5000  2 S 3.42
Rb 0.5000 0.0000 0.5000  2 S 3.42
B 0.5000 0.5000 0.0000  2 S 2.15
S 0.5000 0.5000 0.5000  2 B 2.15

(11)
MnCuRu2 after structural relaxation, computed with PBE.

Calculated values
DOS at the Fermi energy in states/eV/f.u.: 2.7
Energy relative to the elements in eV per atom: 0.15
E_tot in eV per formula unit: -31.2

Lattice parameters (Å, degrees): 8.6847 8.6847 8.6847 17.54 17.54 17.54
With the nearest neighbours (Å) after each atom.
Fractional positions:
Mn 0.0000 0.0000 0.0000  6 Ru 2.55, 6 Mn 2.65
Cu 0.5000 0.5000 0.5000  6 Cu 2.65, 6 Ru 2.71
Ru 0.2539 0.2539 0.2539  3 Mn 2.55, 6 Ru 2.65, 3 Cu 2.71
Ru 0.7461 0.7461 0.7461  3 Mn 2.55, 6 Ru 2.65, 3 Cu 2.71

(12)
NdEuGe2 after structural relaxation, computed with PBE.

Calculated values
DOS at the Fermi energy in states/eV/f.u.: 2.1
Excess energy over the best structure of this formula in the dataset in eV/f.u.: 0.159
Energy relative to the elements in eV per atom: -0.55
E_tot in eV per formula unit: -26.5

Lattice parameters (Å, degrees): 5.2346 5.2346 5.2346 60.00 60.00 60.00
With the nearest neighbours (Å) after each atom.
Fractional positions:
Nd 0.0000 0.0000 0.0000  8 Ge 3.21
Eu 0.5000 0.5000 0.5000  8 Ge 3.21
Ge 0.2500 0.2500 0.2500  4 Eu 3.21, 4 Nd 3.21
Ge 0.7500 0.7500 0.7500  4 Eu 3.21, 4 Nd 3.21